(1)
Computed, not measured: a geometry-optimized Al2ZnRu structure at the PBE level of DFT.

a = 4.326 Å, b = 4.326 Å, c = 4.326 Å
α = 60.00°, β = 60.00°, γ = 60.00°
Fractional positions:
Al  0.000  0.000  0.000
Al  0.250  0.250  0.250
Zn  0.500  0.500  0.500
Ru  0.750  0.750  0.750

**Calculated total energy**: -4.622 eV/atom
**Volume**: 57.3 Å³/cell
**DOS at the Fermi energy**: 0.56 states/eV per atom
**Space group**: F-43m, No. 216
**Formation enthalpy at 0 K**: -44 kJ/mol of formula units
**Total magnetization**: 0.000 Bohr magnetons per cell

(2)
Computed, not measured: a geometry-optimized Y3HgS structure at the PBE level of DFT.

a = 8.948 Å, b = 3.910 Å, c = 14.853 Å
α = 90.00°, β = 90.00°, γ = 90.00°
Fractional positions:
Y  0.019  0.250  0.108
Y  0.163  0.250  0.527
Y  0.187  0.750  0.289
Y  0.313  0.250  0.789
Y  0.337  0.750  0.027
Y  0.481  0.750  0.608
Y  0.519  0.250  0.392
Y  0.663  0.250  0.973
Y  0.687  0.750  0.211
Y  0.813  0.250  0.711
Y  0.837  0.750  0.473
Y  0.981  0.750  0.892
Hg  0.089  0.750  0.684
Hg  0.411  0.250  0.184
Hg  0.589  0.750  0.816
Hg  0.911  0.250  0.316
S  0.171  0.250  0.949
S  0.329  0.750  0.449
S  0.671  0.250  0.551
S  0.829  0.750  0.051

**Calculated total energy**: -5.801 eV/atom
**Volume**: 519.7 Å³/cell
**DOS at the Fermi energy**: 0.70 states/eV per atom
**Space group**: Pnma, No. 62
**E above lowest polymorph**: 0.0 meV/atom
**Total magnetization**: 0.000 Bohr magnetons per cell

(3)
Computed, not measured: a geometry-optimized Sr3Zn8Rh structure at the PBE level of DFT.

a = 9.642 Å, b = 9.642 Å, c = 9.642 Å
α = 33.52°, β = 33.52°, γ = 33.52°
Fractional positions:
Sr  0.000  0.000  0.000
Sr  0.127  0.127  0.127
Sr  0.513  0.513  0.513
Zn  0.048  0.566  0.566
Zn  0.072  0.072  0.567
Zn  0.072  0.567  0.072
Zn  0.315  0.315  0.315
Zn  0.566  0.048  0.566
Zn  0.566  0.566  0.048
Zn  0.567  0.072  0.072
Zn  0.816  0.816  0.816
Rh  0.639  0.639  0.639

**Calculated total energy**: -2.016 eV/atom
**Volume**: 243.4 Å³/cell
**DOS at the Fermi energy**: 0.45 states/eV per atom
**Space group**: R3m, No. 160
**Formation enthalpy at 0 K**: -154 kJ/mol of formula units
**Total magnetization**: 0.000 Bohr magnetons per cell

(4)
Computed, not measured: a geometry-optimized CaPm3Se4 structure at the PBE level of DFT.

a = 7.277 Å, b = 7.277 Å, c = 4.171 Å
α = 90.00°, β = 90.00°, γ = 109.08°
Fractional positions:
Ca  0.000  0.000  0.000
Pm  0.000  0.500  0.500
Pm  0.500  0.000  0.500
Pm  0.500  0.500  0.000
Se  0.246  0.246  0.500
Se  0.247  0.753  0.000
Se  0.753  0.247  0.000
Se  0.754  0.754  0.500

**Calculated total energy**: -5.642 eV/atom
**Volume**: 208.7 Å³/cell
**DOS at the Fermi energy**: 0.39 states/eV per atom
**Space group**: Cmmm, No. 65
**E above lowest polymorph**: 0.0 meV/atom
**Total magnetization**: 0.000 Bohr magnetons per cell

(5)
Computed, not measured: a geometry-optimized LaAl2PdPt2 structure at the PBE level of DFT.

a = 4.335 Å, b = 4.335 Å, c = 6.987 Å
α = 90.00°, β = 90.00°, γ = 120.00°
Fractional positions:
La  0.000  0.000  0.000
Al  0.333  0.667  0.349
Al  0.667  0.333  0.651
Pd  0.000  0.000  0.500
Pt  0.333  0.667  0.721
Pt  0.667  0.333  0.279

**Calculated total energy**: -6.042 eV/atom
**Volume**: 113.7 Å³/cell
**DOS at the Fermi energy**: 0.65 states/eV per atom
**Space group**: P-3m1, No. 164
**Formation enthalpy at 0 K**: -633 kJ/mol of formula units
**Total magnetization**: 0.000 Bohr magnetons per cell

(6)
Computed, not measured: a geometry-optimized HfZr2Ir2 structure at the PBE level of DFT.

a = 8.018 Å, b = 8.018 Å, c = 2.992 Å
α = 90.00°, β = 90.00°, γ = 90.00°
Fractional positions:
Hf  0.000  0.000  0.000
Hf  0.500  0.500  0.000
Zr  0.143  0.357  0.000
Zr  0.357  0.857  0.000
Zr  0.643  0.143  0.000
Zr  0.857  0.643  0.000
Ir  0.158  0.658  0.500
Ir  0.342  0.158  0.500
Ir  0.658  0.842  0.500
Ir  0.842  0.342  0.500

**Calculated total energy**: -9.400 eV/atom
**Volume**: 192.4 Å³/cell
**DOS at the Fermi energy**: 0.75 states/eV per atom
**Space group**: P4/mbm, No. 127
**E above lowest polymorph**: 252.7 meV/atom
**Formation enthalpy at 0 K**: -215 kJ/mol of formula units
**Total magnetization**: 0.000 Bohr magnetons per cell

(7)
Computed, not measured: a geometry-optimized PmYTl structure at the PBE level of DFT.

a = 7.346 Å, b = 7.346 Å, c = 7.346 Å
α = 151.21°, β = 151.21°, γ = 41.17°
Fractional positions:
Pm  0.000  0.000  0.000
Y  0.310  0.310  0.000
Tl  0.660  0.660  0.000

**Calculated total energy**: -4.764 eV/atom
**Volume**: 91.7 Å³/cell
**DOS at the Fermi energy**: 1.26 states/eV per atom
**Space group**: I4mm, No. 107
**E above lowest polymorph**: 55.9 meV/atom
**Formation enthalpy at 0 K**: -69 kJ/mol of formula units
**Total magnetization**: 0.000 Bohr magnetons per cell

(8)
Computed, not measured: a geometry-optimized Tm5SbPb2C structure at the PBE level of DFT.

a = 4.674 Å, b = 4.674 Å, c = 11.027 Å
α = 90.00°, β = 90.00°, γ = 90.00°
Fractional positions:
Tm  0.000  0.000  0.000
Tm  0.000  0.500  0.500
Tm  0.500  0.000  0.500
Tm  0.500  0.500  0.274
Tm  0.500  0.500  0.726
Sb  0.500  0.500  0.000
Pb  0.000  0.000  0.289
Pb  0.000  0.000  0.711
C  0.500  0.500  0.500

**Calculated total energy**: -5.425 eV/atom
**Volume**: 240.9 Å³/cell
**DOS at the Fermi energy**: 0.09 states/eV per atom
**Space group**: P4/mmm, No. 123
**Total magnetization**: 0.000 Bohr magnetons per cell